A plane-wave DFT calculation with GGA-PBE was carried out for crystalline MnTeSe2Cl at its relaxed geometry. Values from VASP.

```
&SYSTEM
  ibrav = 0, nat = 5, ntyp = 4
/
ATOMIC_SPECIES
Mn 54.94 Mn.upf
Te 127.60 Te.upf
Se 78.96 Se.upf
Cl 35.45 Cl.upf
CELL_PARAMETERS angstrom
-4.038 -2.394 1.486
-0.846 -1.686 -5.017
2.708 -4.014 0.892
ATOMIC_POSITIONS crystal
Mn 0.500 0.500 0.500
Te 0.000 0.500 0.000
Se 0.000 0.000 0.500
Se 0.500 0.000 0.000
Cl 0.000 0.000 0.000
```

Computed properties:
Total magnetic moment, μB/f.u.: 0.20
DOS at the Fermi energy, states/eV/f.u.: 6.4
SG: P4/mmm, No. 123
VASP energy, eV/atom: -2.7835
Uncorrected formation energy, eV/atom: 1.442

---

A plane-wave DFT calculation with GGA-PBE was carried out for crystalline MgZrBr2 at its relaxed geometry. Values from VASP.

```
&SYSTEM
  ibrav = 0, nat = 4, ntyp = 3
/
ATOMIC_SPECIES
Br 79.90 Br.upf
Mg 24.30 Mg.upf
Zr 91.22 Zr.upf
CELL_PARAMETERS angstrom
5.064 0.000 0.000
0.000 5.064 0.000
0.000 0.000 3.405
ATOMIC_POSITIONS crystal
Br 0.000 0.000 0.000
Br 0.500 0.500 0.000
Mg 0.500 0.000 0.500
Zr 0.000 0.500 0.500
```

Computed properties:
Total magnetic moment, μB/f.u.: 0.00
DOS at the Fermi energy, states/eV/f.u.: 4.1
SG: P4/mmm, No. 123
VASP energy, eV/atom: -3.5129
Uncorrected formation energy, eV/atom: -0.141